EuMgGe at its PBEsol-relaxed geometry, computed with SCAN.

Results
* crystal system: orthorhombic
* N(E_F): 2.375 states/eV/atom
* energy of formation: -1.9 eV/f.u.
* E: -26.56 eV/atom

a b c (Å): 7.495 4.456 8.419
angles (deg): 90.00 90.00 90.00
Positions (direct):
Eu 0.019 0.250 0.182
Eu 0.481 0.750 0.682
Eu 0.519 0.250 0.318
Eu 0.981 0.750 0.818
Mg 0.146 0.250 0.563
Mg 0.354 0.750 0.063
Mg 0.646 0.250 0.937
Mg 0.854 0.750 0.437
Ge 0.228 0.750 0.385
Ge 0.272 0.250 0.885
Ge 0.728 0.750 0.115
Ge 0.772 0.250 0.615